A geometry-optimized In2FeTc structure. Source: Alexandria via LeMat-Bulk, functional PBE.

Cell lengths 3.3797, 4.7422, 8.6907 Å; angles 90.00, 90.00, 90.00 degrees
Space group Cmmm (No. 65)
Unique sites:
1 In 0.0000 0.0000 0.2427 (multiplicity 4)
2 Fe 0.0000 0.5000 0.0000 (multiplicity 2)
3 Tc 0.0000 0.5000 0.5000 (multiplicity 2)

Results
Energy: -45.02 eV for the cell shown
E above lowest polymorph: 224.8 meV/atom
Formation energy from the elements: 0.449 eV per atom